Density functional theory data (GGA-PBE) for a relaxed Dy3Tm3Sb2Os crystal.

The total moment comes out at 0.0 μB/f.u. The energy is -5.8245 eV per atom.

Unit cell a=8.153 b=8.153 c=4.182 alpha=90.00 beta=90.00 gamma=120.00
Element x y z (fractional)
Dy1 0.000 0.761 0.000
Dy2 0.239 0.239 0.000
Dy3 0.761 0.000 0.000
Tm1 0.000 0.391 0.500
Tm2 0.391 0.000 0.500
Tm3 0.609 0.609 0.500
Sb1 0.333 0.667 0.000
Sb2 0.667 0.333 0.000
Os1 0.000 0.000 0.500